Entry from the Alexandria database: a geometry-optimized Sr3LaPd4 structure (GGA-PBE).

Summary:
space group	P4/mmm (123)
E_form	-632	meV per atom
V	207.6	Å³ per cell
theoretical density	6.62	g/cm3
D(E_F)	0.3508	states/eV per atom

Cell lengths 3.727, 3.727, 14.942 Å; angles 90.00, 90.00, 90.00 degrees
Fractional positions:
Sr 0.500 0.500 0.252
Sr 0.500 0.500 0.500
Sr 0.500 0.500 0.748
Pd 0.000 0.000 0.892
Pd 0.000 0.000 0.108
Pd 0.000 0.000 0.375
Pd 0.000 0.000 0.625
La 0.500 0.500 0.000